# CsCrCuF6

A relaxed CsCrCuF6 crystal (PBE with a Hubbard U, the Alexandria database).

Unit cell a=7.290 b=7.458 c=10.640 alpha=90.00 beta=90.00 gamma=90.00
Space group Imma (No. 74)
One atom of each set of equivalent atoms:
Cs 0.000 0.250 0.119 x4
Cr 0.000 0.000 0.500 x4
Cu 0.250 0.250 0.750 x4
F 0.000 0.250 0.439 x4
F 0.000 0.250 0.816 x4
F 0.192 0.047 0.621 x16

Computed properties:
- Total energy: -181.37 eV/cell
- Size of the total moment: 4.0 μB/f.u.